The following is a DFT calculation (PBE) of crystalline Y2MgCd2 at its relaxed geometry.

```
Y2MgCd2
1.0
-2.5644 -2.9150 2.4916
-1.8420 -1.6926 -3.8761
2.8149 -7.0029 -1.0250
Cd Y Mg
2 2 1
Direct
0.5971 0.5971 0.8057
0.4029 0.4029 0.1943
0.2500 0.7500 0.5000
0.7500 0.2500 0.5000
0.0000 0.0000 0.0000
```

Its volume is 29.30 A^3/atom. The value obtained for the energy relative to the elements is 0.114 eV/atom. As for the space group: I4/mmm (139). The density of states at the Fermi level is 4.7 states/eV/cell.